(1)
4
Lattice="-1.903 3.096 -1.972 2.267 -1.218 -4.101 -3.651 -2.969 -1.137" Properties=species:S:1:pos:R:3 comment="Ho2InGe (PBE, optimized geometry)" final_energy_ev_per_atom=-4.64 formation_energy_ev_per_fu=-2.0 pbc="T T T"
Ho -1.826 -1.485 -0.568
Ho 1.134 -0.609 -2.050
Ge -0.952 1.548 -0.986
In -1.644 -0.546 -3.605

(2)
4
Lattice="-9.238 1.112 2.391 -8.054 -4.703 2.304 9.198 2.746 0.409" Properties=species:S:1:pos:R:3 comment="KLa2Mo (PBE, optimized geometry)" e_above_lowest_polymorph_kcal_per_mol_atoms=5.55 final_energy_ev_per_atom=-4.85 formation_energy_ev_per_fu=2.4 pbc="T T T"
La -17.284 -3.589 4.692
La -5.572 -2.255 3.024
K -2.990 1.312 2.206
Mo -8.189 -1.701 2.223